No. 1
A plane-wave DFT calculation with PBE was carried out for an optimized crystal structure of Ac14PrNd. Values from VASP.

DOS(E_F) = 32.080 states/eV/f.u.
Calculated formation energy = 20.4 meV/atom
Mass density = 8.2 g/cm³

The structure in Quantum ESPRESSO input format:
```
&SYSTEM
  ibrav = 0, nat = 16, ntyp = 3
/
ATOMIC_SPECIES
Pr 140.91 Pr.upf
Ac 227.00 Ac.upf
Nd 144.24 Nd.upf
CELL_PARAMETERS angstrom
-7.0413 3.5063 -0.8312
-1.5149 -4.5365 -6.3000
-4.6539 -7.7565 6.7044
ATOMIC_POSITIONS crystal
Pr 0.3749 0.6251 0.0000
Ac 0.6249 0.8750 0.7551
Ac 0.8763 0.6261 0.5000
Ac 0.3750 0.6250 0.5000
Ac 0.1250 0.3751 0.7551
Ac 0.8733 0.6234 0.0000
Ac 0.1246 0.8754 0.2435
Ac 0.8752 0.1248 0.5000
Ac 0.1250 0.3751 0.2449
Ac 0.3739 0.1237 0.5000
Ac 0.6254 0.3746 0.7536
Ac 0.3766 0.1267 0.0000
Ac 0.6254 0.3746 0.2464
Ac 0.6249 0.8750 0.2449
Ac 0.1246 0.8754 0.7565
Nd 0.8749 0.1251 0.0000
```

No. 2
A plane-wave DFT calculation with PBE was carried out for an optimized crystal structure of Ac2Pr2Nd3. Values from VASP.

DOS(E_F) = 10.995 states/eV/f.u.
Calculated formation energy = 131.2 meV/atom
Mass density = 7.2 g/cm³
Relative energy among the computed polymorphs = 36 meV/atom

The structure in Quantum ESPRESSO input format:
```
&SYSTEM
  ibrav = 0, nat = 7, ntyp = 3
/
ATOMIC_SPECIES
Nd 144.24 Nd.upf
Ac 227.00 Ac.upf
Pr 140.91 Pr.upf
CELL_PARAMETERS angstrom
3.6410 0.0000 0.0000
0.0000 5.9456 -0.2330
0.0000 3.4364 12.2339
ATOMIC_POSITIONS crystal
Nd 0.0000 0.7196 0.5604
Nd 0.0000 0.2804 0.4396
Nd 0.0000 0.0000 0.0000
Ac 0.0000 0.5771 0.8450
Ac 0.0000 0.4229 0.1550
Pr 0.5000 0.8545 0.2924
Pr 0.5000 0.1455 0.7076
```

No. 3
A plane-wave DFT calculation with PBE was carried out for an optimized crystal structure of Ac5Pr3Nd3. Values from VASP.

DOS(E_F) = 16.543 states/eV/f.u.
Calculated formation energy = 271.4 meV/atom
Mass density = 7.3 g/cm³

The structure in Quantum ESPRESSO input format:
```
&SYSTEM
  ibrav = 0, nat = 11, ntyp = 3
/
ATOMIC_SPECIES
Ac 227.00 Ac.upf
Pr 140.91 Pr.upf
Nd 144.24 Nd.upf
CELL_PARAMETERS angstrom
3.6970 0.0000 0.0000
0.0000 10.3068 -5.9507
0.0000 0.0000 11.9013
ATOMIC_POSITIONS crystal
Ac 0.5000 0.3424 0.0000
Ac 0.5000 0.6576 0.6576
Ac 0.5000 0.0000 0.3424
Ac 0.5000 0.6667 0.3333
Ac 0.5000 0.3333 0.6667
Pr 0.5000 0.0000 0.8404
Pr 0.5000 0.8404 0.0000
Pr 0.5000 0.1596 0.1596
Nd 0.0000 0.3948 0.3948
Nd 0.0000 0.0000 0.6052
Nd 0.0000 0.6052 0.0000
```

No. 4
A plane-wave DFT calculation with PBE was carried out for an optimized crystal structure of AcPr5Nd12. Values from VASP.

DOS(E_F) = 29.057 states/eV/f.u.
Calculated formation energy = 89.5 meV/atom
Mass density = 6.8 g/cm³

The structure in Quantum ESPRESSO input format:
```
&SYSTEM
  ibrav = 0, nat = 18, ntyp = 3
/
ATOMIC_SPECIES
Ac 227.00 Ac.upf
Nd 144.24 Nd.upf
Pr 140.91 Pr.upf
CELL_PARAMETERS angstrom
11.8765 0.0000 -0.0666
5.9382 8.9331 -0.0333
-0.0170 0.0000 6.1509
ATOMIC_POSITIONS crystal
Ac 0.0000 0.0000 0.0000
Nd 0.0183 0.3316 0.9403
Nd 0.8440 0.6648 0.5573
Nd 0.1560 0.3352 0.4427
Nd 0.3500 0.6684 0.9403
Nd 0.6500 0.3316 0.0597
Nd 0.1836 0.0000 0.5425
Nd 0.8164 0.0000 0.4575
Nd 0.5088 0.3352 0.5573
Nd 0.6672 0.0000 0.9572
Nd 0.3328 0.0000 0.0428
Nd 0.9817 0.6684 0.0597
Nd 0.4912 0.6648 0.4427
Pr 0.3259 0.3483 0.0000
Pr 0.8344 0.3312 0.5000
Pr 0.1656 0.6688 0.5000
Pr 0.5000 0.0000 0.5000
Pr 0.6741 0.6517 0.0000
```

No. 5
A plane-wave DFT calculation with PBE was carried out for an optimized crystal structure of Ac2Pr4Nd7. Values from VASP.

DOS(E_F) = 18.763 states/eV/f.u.
Calculated formation energy = 149.4 meV/atom
Mass density = 6.9 g/cm³

The structure in Quantum ESPRESSO input format:
```
&SYSTEM
  ibrav = 0, nat = 13, ntyp = 3
/
ATOMIC_SPECIES
Nd 144.24 Nd.upf
Pr 140.91 Pr.upf
Ac 227.00 Ac.upf
CELL_PARAMETERS angstrom
-4.6798 -0.9272 4.2916
5.7065 -2.8195 0.8159
4.3228 10.7870 7.0439
ATOMIC_POSITIONS crystal
Nd 0.0000 0.3687 0.2233
Nd 0.6313 0.6313 0.2233
Nd 0.6313 0.0000 0.7767
Nd 0.0000 0.0000 0.0000
Nd 0.3687 0.3687 0.7767
Nd 0.3687 0.0000 0.2233
Nd 0.0000 0.6313 0.7767
Pr 0.3333 0.6667 0.5000
Pr 0.0000 0.0000 0.6086
Pr 0.0000 0.0000 0.3914
Pr 0.6667 0.3333 0.5000
Ac 0.3333 0.6667 0.0000
Ac 0.6667 0.3333 0.0000
```

No. 6
A plane-wave DFT calculation with PBE was carried out for an optimized crystal structure of AcPrNd3. Values from VASP.

DOS(E_F) = 7.983 states/eV/f.u.
Calculated formation energy = 75.5 meV/atom
Mass density = 7.1 g/cm³
Relative energy among the computed polymorphs = 55 meV/atom

The structure in Quantum ESPRESSO input format:
```
&SYSTEM
  ibrav = 0, nat = 20, ntyp = 3
/
ATOMIC_SPECIES
Nd 144.24 Nd.upf
Ac 227.00 Ac.upf
Pr 140.91 Pr.upf
CELL_PARAMETERS angstrom
-1.6515 4.0605 4.6625
-3.9956 -5.0460 2.9787
12.9301 -4.7490 9.2989
ATOMIC_POSITIONS crystal
Nd 0.8439 0.0503 0.8692
Nd 0.6561 0.5503 0.6308
Nd 0.3439 0.4497 0.3692
Nd 0.1823 0.6665 0.9525
Nd 0.6823 0.8335 0.4525
Nd 0.8177 0.3335 0.0475
Nd 0.1561 0.9497 0.1308
Nd 0.6641 0.8322 0.0515
Nd 0.3359 0.1678 0.9485
Nd 0.8360 0.3322 0.4485
Nd 0.1640 0.6678 0.5515
Nd 0.3177 0.1665 0.5475
Ac 0.7003 0.5568 0.8468
Ac 0.7997 0.0568 0.6532
Ac 0.2003 0.9432 0.3468
Ac 0.2997 0.4432 0.1532
Pr 0.2959 0.8708 0.7545
Pr 0.2041 0.3708 0.7455
Pr 0.7959 0.6292 0.2545
Pr 0.7041 0.1292 0.2455
```

No. 7
A plane-wave DFT calculation with PBE was carried out for an optimized crystal structure of Ac7Pr12Nd. Values from VASP.

DOS(E_F) = 29.666 states/eV/f.u.
Calculated formation energy = 756.9 meV/atom
Mass density = 6.2 g/cm³

The structure in Quantum ESPRESSO input format:
```
&SYSTEM
  ibrav = 0, nat = 20, ntyp = 3
/
ATOMIC_SPECIES
Pr 140.91 Pr.upf
Nd 144.24 Nd.upf
Ac 227.00 Ac.upf
CELL_PARAMETERS angstrom
1.9211 -4.7152 -9.3124
-3.7080 -7.1658 6.8954
-7.2046 7.6772 -1.3414
ATOMIC_POSITIONS crystal
Pr 0.3270 0.7578 0.0847
Pr 0.5692 0.3270 0.2422
Pr 0.4308 0.6730 0.7578
Pr 0.7578 0.0847 0.3270
Pr 0.9153 0.6730 0.2422
Pr 0.2422 0.5692 0.3270
Pr 0.0847 0.3270 0.7578
Pr 0.3270 0.2422 0.5692
Pr 0.6730 0.2422 0.9153
Pr 0.2422 0.9153 0.6730
Pr 0.7578 0.4308 0.6730
Pr 0.6730 0.7578 0.4308
Nd 0.0000 0.0000 0.0000
Ac 0.5000 0.5000 0.5000
Ac 0.5000 0.0000 0.5000
Ac 0.0000 0.5000 0.0000
Ac 0.0000 0.5000 0.5000
Ac 0.0000 0.0000 0.5000
Ac 0.5000 0.0000 0.0000
Ac 0.5000 0.5000 0.0000
```

No. 8
A plane-wave DFT calculation with PBE was carried out for an optimized crystal structure of Ac7Pr4Nd. Values from VASP.

DOS(E_F) = 21.097 states/eV/f.u.
Calculated formation energy = 224.9 meV/atom
Mass density = 7.5 g/cm³
Relative energy among the computed polymorphs = 198 meV/atom

The structure in Quantum ESPRESSO input format:
```
&SYSTEM
  ibrav = 0, nat = 12, ntyp = 3
/
ATOMIC_SPECIES
Pr 140.91 Pr.upf
Ac 227.00 Ac.upf
Nd 144.24 Nd.upf
CELL_PARAMETERS angstrom
6.4776 0.0000 0.0000
3.2388 9.5348 1.5374
3.2388 1.6638 8.4850
ATOMIC_POSITIONS crystal
Pr 0.5602 0.2992 0.5805
Pr 0.3308 0.3577 0.9806
Pr 0.6692 0.6423 0.0194
Pr 0.4398 0.7008 0.4195
Ac 0.2036 0.1221 0.4707
Ac 0.9140 0.4448 0.7272
Ac 0.7964 0.8779 0.5293
Ac 0.2284 0.7423 0.8009
Ac 0.7716 0.2577 0.1991
Ac 0.5000 0.0000 0.0000
Ac 0.0860 0.5552 0.2728
Nd 0.0000 0.0000 0.0000
```

No. 9
A plane-wave DFT calculation with PBE was carried out for an optimized crystal structure of Ac3Pr4Nd5. Values from VASP.

DOS(E_F) = 19.957 states/eV/f.u.
Calculated formation energy = 21.5 meV/atom
Mass density = 7.2 g/cm³
Relative energy among the computed polymorphs = 0 meV/atom

The structure in Quantum ESPRESSO input format:
```
&SYSTEM
  ibrav = 0, nat = 12, ntyp = 3
/
ATOMIC_SPECIES
Ac 227.00 Ac.upf
Nd 144.24 Nd.upf
Pr 140.91 Pr.upf
CELL_PARAMETERS angstrom
6.8934 0.7775 3.1008
-5.3263 3.6676 -7.7095
8.0095 0.8070 19.2312
ATOMIC_POSITIONS crystal
Ac 0.0000 0.0000 0.5000
Ac 0.7530 0.5007 0.5003
Ac 0.2470 0.4993 0.4997
Nd 0.7148 0.8855 0.8354
Nd 0.0253 0.6071 0.1638
Nd 0.9747 0.3929 0.8362
Nd 0.5000 0.0000 0.5000
Nd 0.2852 0.1145 0.1646
Pr 0.5347 0.6063 0.1630
Pr 0.7778 0.1010 0.1617
Pr 0.4653 0.3937 0.8370
Pr 0.2222 0.8990 0.8383
```

No. 10
A plane-wave DFT calculation with PBE was carried out for an optimized crystal structure of Ac5Pr2Nd. Values from VASP.

DOS(E_F) = 12.108 states/eV/f.u.
Calculated formation energy = 100.3 meV/atom
Mass density = 7.7 g/cm³
Relative energy among the computed polymorphs = 76 meV/atom

The structure in Quantum ESPRESSO input format:
```
&SYSTEM
  ibrav = 0, nat = 16, ntyp = 3
/
ATOMIC_SPECIES
Nd 144.24 Nd.upf
Pr 140.91 Pr.upf
Ac 227.00 Ac.upf
CELL_PARAMETERS angstrom
-2.3537 -0.7272 -5.2815
3.9619 -5.3160 2.1816
-14.5685 -7.7551 7.5603
ATOMIC_POSITIONS crystal
Nd 0.7684 0.5368 0.7500
Nd 0.2316 0.4632 0.2500
Pr 0.2426 0.4852 0.8545
Pr 0.7574 0.5148 0.1455
Pr 0.2426 0.4852 0.6455
Pr 0.7574 0.5148 0.3545
Ac 0.3564 0.7128 0.4572
Ac 0.9479 0.8959 0.8999
Ac 0.0521 0.1041 0.3999
Ac 0.3564 0.7128 0.0428
Ac 0.9479 0.8959 0.6001
Ac 0.6436 0.2872 0.5428
Ac 0.6436 0.2872 0.9572
Ac 0.5073 0.0146 0.2500
Ac 0.4927 0.9854 0.7500
Ac 0.0521 0.1041 0.1001
```

No. 11
A plane-wave DFT calculation with PBE was carried out for an optimized crystal structure of AcPr7Nd4. Values from VASP.

DOS(E_F) = 20.996 states/eV/f.u.
Calculated formation energy = 224.9 meV/atom
Mass density = 6.6 g/cm³
Relative energy among the computed polymorphs = 209 meV/atom

The structure in Quantum ESPRESSO input format:
```
&SYSTEM
  ibrav = 0, nat = 12, ntyp = 3
/
ATOMIC_SPECIES
Nd 144.24 Nd.upf
Pr 140.91 Pr.upf
Ac 227.00 Ac.upf
CELL_PARAMETERS angstrom
6.2787 0.0000 0.0000
3.1393 8.5871 1.3124
3.1393 1.1508 8.4959
ATOMIC_POSITIONS crystal
Nd 0.6861 0.6367 0.9911
Nd 0.4576 0.7126 0.3722
Nd 0.5424 0.2874 0.6278
Nd 0.3139 0.3633 0.0089
Pr 0.7322 0.2882 0.2474
Pr 0.2092 0.1194 0.4623
Pr 0.9223 0.4381 0.7173
Pr 0.7908 0.8806 0.5377
Pr 0.5000 0.0000 0.0000
Pr 0.2678 0.7118 0.7526
Pr 0.0777 0.5619 0.2827
Ac 0.0000 0.0000 0.0000
```

No. 12
A plane-wave DFT calculation with PBE was carried out for an optimized crystal structure of Ac2Pr5Nd12. Values from VASP.

DOS(E_F) = 29.215 states/eV/f.u.
Calculated formation energy = 95.7 meV/atom
Mass density = 6.9 g/cm³
Relative energy among the computed polymorphs = 0 meV/atom

The structure in Quantum ESPRESSO input format:
```
&SYSTEM
  ibrav = 0, nat = 19, ntyp = 3
/
ATOMIC_SPECIES
Ac 227.00 Ac.upf
Nd 144.24 Nd.upf
Pr 140.91 Pr.upf
CELL_PARAMETERS angstrom
12.0217 0.0000 0.0000
-6.0108 9.2352 1.2064
0.0000 -2.2932 5.9776
ATOMIC_POSITIONS crystal
Ac 0.2223 0.0000 0.0000
Ac 0.7777 0.0000 0.0000
Nd 0.9491 0.4065 0.2044
Nd 0.5571 0.1143 0.2823
Nd 0.0509 0.5935 0.7956
Nd 0.6445 0.7936 0.3942
Nd 0.4429 0.8857 0.7177
Nd 0.1297 0.2595 0.9858
Nd 0.8510 0.2064 0.6058
Nd 0.1490 0.7936 0.3942
Nd 0.4574 0.4065 0.2044
Nd 0.3555 0.2064 0.6058
Nd 0.5426 0.5935 0.7956
Nd 0.8703 0.7405 0.0142
Pr 0.2152 0.4304 0.5419
Pr 0.6711 0.3421 0.8568
Pr 0.7848 0.5696 0.4581
Pr 0.3289 0.6579 0.1432
Pr 0.0000 0.0000 0.5000
```